# 1
Entry from the Open Quantum Materials Database: a relaxed structure of TlGeTeAuSe2 (PBE).

The structure belongs to space group Cmcm (No. 63); the cell edges are 3.725, 15.578 and 11.099 Å and the angles 90.00°, 90.00° and 90.00°. The distinct sites, in fractional coordinates, are Tl at (0.000, 0.220, 0.250), Ge at (0.000, 0.500, 0.000), Te at (0.000, 0.461, 0.750), Au at (0.000, 0.126, 0.750) and Se at (0.000, 0.123, 0.525).


# 2
Entry from the Open Quantum Materials Database: a relaxed structure of LiPaZn (PBE).

The structure belongs to space group F-43m (No. 216); the cell edges are 6.477, 6.477 and 6.477 Å and the angles 90.00°, 90.00° and 90.00°. The distinct sites, in fractional coordinates, are Li at (0.000, 0.000, 0.000), Pa at (0.000, 0.000, 0.500) and Zn at (0.250, 0.250, 0.250).


# 3
Entry from the Open Quantum Materials Database: a relaxed structure of Sm4YAg5 (PBE).

The formation energy comes out at -0.30 eV per atom.

The structure belongs to space group P4/mmm (No. 123); the cell edges are 3.657, 3.657 and 18.675 Å and the angles 90.00°, 90.00° and 90.00°. The distinct sites, in fractional coordinates, are Sm at (0.000, 0.000, 0.101), Sm at (0.000, 0.000, 0.302), Y at (0.000, 0.000, 0.500), Ag at (0.500, 0.500, 0.000), Ag at (0.500, 0.500, 0.201) and Ag at (0.500, 0.500, 0.405).


# 4
Entry from the Open Quantum Materials Database: a relaxed structure of BaPrNO (PBE).

The structure belongs to space group Pmc2_1 (No. 26); the cell edges are 4.184, 7.256 and 6.219 Å and the angles 90.00°, 90.00° and 90.00°. The distinct sites, in fractional coordinates, are Ba at (0.000, 0.175, 0.000), Pr at (0.500, 0.339, 0.501), N at (0.500, 0.361, 0.873) and O at (0.000, 0.191, 0.430).


# 5
Entry from the Open Quantum Materials Database: a relaxed structure of PmPrB4 (PBE).

The structure belongs to space group Immm (No. 71); the cell edges are 3.337, 5.782 and 8.247 Å and the angles 90.00°, 90.00° and 90.00°. The distinct sites, in fractional coordinates, are Pm at (0.000, 0.000, 0.000), Pr at (0.000, 0.000, 0.500) and B at (0.000, 0.333, 0.251).


# 6
Entry from the Open Quantum Materials Database: a relaxed structure of UGaNi (PBE).

The structure belongs to space group P-62m (No. 189); the cell edges are 6.2116, 6.2116 and 4.5218 Å and the angles 90.00°, 90.00° and 120.00°. The distinct sites, in fractional coordinates, are U at (0.0000, 0.5168, 0.0000), Ga at (0.0000, 0.0000, 0.0000), Ga at (0.3333, 0.6667, 0.5000) and Ni at (0.0000, 0.2290, 0.5000).


# 7
Entry from the Open Quantum Materials Database: a relaxed structure of Na2ZrSi4O11 (PBE).

The structure belongs to space group C2/c (No. 15); the cell edges are 11.011, 10.084 and 8.541 Å and the angles 90.00°, 100.56° and 90.00°. The distinct sites, in fractional coordinates, are Na at (0.000, 0.074, 0.250), Na at (0.000, 0.395, 0.250), Zr at (0.250, 0.250, 0.500), Si at (0.051, 0.217, 0.929), Si at (0.234, 0.431, 0.861), O at (0.000, 0.160, 0.750), O at (0.054, 0.229, 0.462), O at (0.113, 0.363, 0.918), O at (0.145, 0.098, 0.001), O at (0.209, 0.412, 0.347) and O at (0.241, 0.133, 0.302).


# 8
Entry from the Open Quantum Materials Database: a relaxed structure of CdGaPb (PBE).

The structure belongs to space group F-43m (No. 216); the cell edges are 6.884, 6.884 and 6.884 Å and the angles 90.00°, 90.00° and 90.00°. The distinct sites, in fractional coordinates, are Cd at (0.000, 0.000, 0.000), Ga at (0.250, 0.250, 0.250) and Pb at (0.000, 0.000, 0.500).


# 9
Entry from the Open Quantum Materials Database: a relaxed structure of AgBrCl6 (PBE).

The structure belongs to space group F-43m (No. 216); the cell edges are 9.630, 9.630 and 9.630 Å and the angles 90.00°, 90.00° and 90.00°. The distinct sites, in fractional coordinates, are Ag at (0.000, 0.000, 0.000), Br at (0.250, 0.250, 0.250) and Cl at (0.002, 0.250, 0.250).


# 10
Entry from the Open Quantum Materials Database: a relaxed structure of Y4Zr2Co3C3 (PBE).

The structure belongs to space group C2/c (No. 15); the cell edges are 10.633, 5.936 and 14.107 Å and the angles 90.00°, 104.50° and 90.00°. The distinct sites, in fractional coordinates, are Y at (0.119, 0.080, 0.108), Y at (0.211, 0.086, 0.392), Zr at (0.060, 0.416, 0.915), Co at (0.000, 0.325, 0.250), Co at (0.140, 0.392, 0.750), C at (0.079, 0.265, 0.503) and C at (0.250, 0.250, 0.000).


# 11
Entry from the Open Quantum Materials Database: a relaxed structure of KSmSO (PBE).

The structure belongs to space group P2_1/c (No. 14); the cell edges are 7.550, 7.526 and 6.579 Å and the angles 90.00°, 104.53° and 90.00°. The distinct sites, in fractional coordinates, are K at (0.084, 0.245, 0.009), Sm at (0.469, 0.626, 0.268), S at (0.244, 0.588, 0.841) and O at (0.391, 0.149, 0.879).


# 12
Entry from the Open Quantum Materials Database: a relaxed structure of NbGePO (PBE).

The structure belongs to space group P4/nmm (No. 129, origin choice 2); the cell edges are 4.031, 4.031 and 9.054 Å and the angles 90.00°, 90.00° and 90.00°. The distinct sites, in fractional coordinates, are Nb at (0.250, 0.750, 0.000), Ge at (0.250, 0.250, 0.406), P at (0.250, 0.250, 0.839) and O at (0.250, 0.750, 0.500).


Calculated total energy: -21.156, -10.993, -42.452, -27.125, -37.997, -20.319, -137.085, -7.323, -13.898, -93.556, -23.963, -26.983 (eV/f.u.)